(A)
The following is a GGA-PBE calculation of crystalline CdAg2Bi2 at its relaxed geometry, from the Alexandria database.

abc: 8.689 8.689 3.469
angles: 90.00 90.00 90.00
Fractional coordinates of all 10 atoms:
Cd: 0.000 0.000 0.000
Cd: 0.500 0.500 0.000
Ag: 0.117 0.383 0.500
Ag: 0.383 0.883 0.500
Ag: 0.617 0.117 0.500
Ag: 0.883 0.617 0.500
Bi: 0.181 0.681 0.000
Bi: 0.319 0.181 0.000
Bi: 0.681 0.819 0.000
Bi: 0.819 0.319 0.000

---

(B)
The following is a GGA-PBE calculation of crystalline CdAg2Bi2 at its relaxed geometry, from the Alexandria database.

abc: 7.483 7.483 4.441
angles: 90.00 90.00 90.00
Fractional coordinates of all 10 atoms:
Cd: 0.000 0.000 0.000
Cd: 0.500 0.500 0.000
Ag: 0.134 0.366 0.000
Ag: 0.366 0.866 0.000
Ag: 0.634 0.134 0.000
Ag: 0.866 0.634 0.000
Bi: 0.167 0.667 0.500
Bi: 0.333 0.167 0.500
Bi: 0.667 0.833 0.500
Bi: 0.833 0.333 0.500

---

(C)
The following is a GGA-PBE calculation of crystalline CdAg2Bi2 at its relaxed geometry, from the Alexandria database.

abc: 9.070 9.070 9.070
angles: 155.26 155.26 35.28
Fractional coordinates of all 5 atoms:
Cd: 0.000 0.000 0.000
Ag: 0.250 0.750 0.500
Ag: 0.750 0.250 0.500
Bi: 0.389 0.389 0.000
Bi: 0.611 0.611 0.000

---

(D)
The following is a GGA-PBE calculation of crystalline CdAg2Bi2 at its relaxed geometry, from the Alexandria database.

abc: 7.432 7.432 7.432
angles: 144.13 144.13 51.64
Fractional coordinates of all 5 atoms:
Cd: 0.000 0.000 0.000
Ag: 0.400 0.400 0.000
Ag: 0.600 0.600 0.000
Bi: 0.250 0.750 0.500
Bi: 0.750 0.250 0.500

---

Energies relative to the minimum, meV/atom: (A) 62; (B) 0; (C) 40; (D) 158

---

(A)
The following is a GGA-PBE calculation of crystalline Cd4AgBi at its relaxed geometry, from the Alexandria database.

abc: 5.872 5.872 5.872
angles: 60.00 60.00 60.00
Fractional coordinates of all 6 atoms:
Cd: 0.124 0.124 0.124
Cd: 0.124 0.124 0.627
Cd: 0.124 0.627 0.124
Cd: 0.627 0.124 0.124
Ag: 0.750 0.750 0.750
Bi: 0.500 0.500 0.500

---

(B)
The following is a GGA-PBE calculation of crystalline Cd4AgBi at its relaxed geometry, from the Alexandria database.

abc: 7.915 7.915 5.984
angles: 108.75 108.75 57.00
Fractional coordinates of all 12 atoms:
Cd: 0.086 0.686 0.428
Cd: 0.188 0.812 0.000
Cd: 0.314 0.314 0.780
Cd: 0.314 0.914 0.572
Cd: 0.686 0.086 0.428
Cd: 0.686 0.686 0.220
Cd: 0.812 0.188 0.000
Cd: 0.914 0.314 0.572
Ag: 0.482 0.482 0.249
Ag: 0.518 0.518 0.751
Bi: 0.226 0.226 0.196
Bi: 0.774 0.774 0.804

---

Energies relative to the minimum, meV/atom: (A) 87; (B) 0

---

(A)
The following is a GGA-PBE calculation of crystalline Cd2AgBi2 at its relaxed geometry, from the Alexandria database.

abc: 7.437 7.437 4.804
angles: 90.00 90.00 90.00
Fractional coordinates of all 10 atoms:
Cd: 0.144 0.356 0.000
Cd: 0.356 0.856 0.000
Cd: 0.644 0.144 0.000
Cd: 0.856 0.644 0.000
Ag: 0.000 0.000 0.000
Ag: 0.500 0.500 0.000
Bi: 0.162 0.662 0.500
Bi: 0.338 0.162 0.500
Bi: 0.662 0.838 0.500
Bi: 0.838 0.338 0.500

---

(B)
The following is a GGA-PBE calculation of crystalline Cd2AgBi2 at its relaxed geometry, from the Alexandria database.

abc: 8.727 8.727 8.727
angles: 152.89 152.89 38.71
Fractional coordinates of all 5 atoms:
Cd: 0.250 0.750 0.500
Cd: 0.750 0.250 0.500
Ag: 0.000 0.000 0.000
Bi: 0.400 0.400 0.000
Bi: 0.600 0.600 0.000

---

Energies relative to the minimum, meV/atom: (A) 0; (B) 48

---

(A)
The following is a GGA-PBE calculation of crystalline Ag2Bi2Cl at its relaxed geometry, from the Alexandria database.

abc: 8.593 8.593 3.450
angles: 90.00 90.00 90.00
Fractional coordinates of all 10 atoms:
Ag: 0.117 0.383 0.000
Ag: 0.383 0.883 0.000
Ag: 0.617 0.117 0.000
Ag: 0.883 0.617 0.000
Bi: 0.183 0.683 0.500
Bi: 0.317 0.183 0.500
Bi: 0.683 0.817 0.500
Bi: 0.817 0.317 0.500
Cl: 0.000 0.000 0.500
Cl: 0.500 0.500 0.500

---

(B)
The following is a GGA-PBE calculation of crystalline Ag2Bi2Cl at its relaxed geometry, from the Alexandria database.

abc: 8.631 8.631 8.631
angles: 153.51 153.51 37.81
Fractional coordinates of all 5 atoms:
Ag: 0.250 0.750 0.500
Ag: 0.750 0.250 0.500
Bi: 0.110 0.110 0.000
Bi: 0.890 0.890 0.000
Cl: 0.500 0.500 0.000

---

Energies relative to the minimum, meV/atom: (A) 0; (B) 24

---

(A)
The following is a GGA-PBE calculation of crystalline AgBiCl2 at its relaxed geometry, from the Alexandria database.

abc: 5.116 5.116 5.116
angles: 60.00 60.00 60.00
Fractional coordinates of all 4 atoms:
Ag: 0.000 0.000 0.000
Bi: 0.500 0.500 0.500
Cl: 0.250 0.250 0.250
Cl: 0.750 0.750 0.750

---

(B)
The following is a GGA-PBE calculation of crystalline AgBiCl2 at its relaxed geometry, from the Alexandria database.

abc: 7.499 7.499 7.499
angles: 97.88 97.88 136.52
Fractional coordinates of all 8 atoms:
Ag: 0.000 0.000 0.000
Ag: 0.750 0.250 0.500
Bi: 0.250 0.750 0.500
Bi: 0.500 0.500 0.000
Cl: 0.255 0.125 0.630
Cl: 0.375 0.745 0.870
Cl: 0.495 0.625 0.370
Cl: 0.875 0.505 0.130

---

Energies relative to the minimum, meV/atom: (A) 267; (B) 0

---

(A)
The following is a GGA-PBE calculation of crystalline Ag3BiCl at its relaxed geometry, from the Alexandria database.

abc: 5.048 5.048 5.048
angles: 90.00 90.00 90.00
Fractional coordinates of all 5 atoms:
Ag: 0.000 0.000 0.500
Ag: 0.000 0.500 0.000
Ag: 0.500 0.000 0.000
Bi: 0.500 0.500 0.500
Cl: 0.000 0.000 0.000

---

(B)
The following is a GGA-PBE calculation of crystalline Ag3BiCl at its relaxed geometry, from the Alexandria database.

abc: 5.429 5.429 5.429
angles: 90.00 90.00 90.00
Fractional coordinates of all 5 atoms:
Ag: 0.000 0.000 0.500
Ag: 0.000 0.500 0.000
Ag: 0.500 0.000 0.000
Bi: 0.000 0.000 0.000
Cl: 0.500 0.500 0.500

---

Energies relative to the minimum, meV/atom: (A) 0; (B) 18

---

(A)
The following is a GGA-PBE calculation of crystalline K2AgBiCl6 at its relaxed geometry, from the Alexandria database.

abc: 7.649 7.649 7.649
angles: 60.00 60.00 60.00
Fractional coordinates of all 10 atoms:
K: 0.250 0.250 0.250
K: 0.750 0.750 0.750
Ag: 0.000 0.000 0.000
Bi: 0.500 0.500 0.500
Cl: 0.249 0.249 0.751
Cl: 0.249 0.751 0.249
Cl: 0.249 0.751 0.751
Cl: 0.751 0.249 0.249
Cl: 0.751 0.249 0.751
Cl: 0.751 0.751 0.249

---

(B)
The following is a GGA-PBE calculation of crystalline K2AgBiCl6 at its relaxed geometry, from the Alexandria database.

abc: 7.347 7.723 12.701
angles: 90.00 124.60 90.00
Fractional coordinates of all 20 atoms:
K: 0.224 0.074 0.248
K: 0.224 0.426 0.748
K: 0.776 0.574 0.252
K: 0.776 0.926 0.752
Ag: 0.000 0.000 0.500
Ag: 0.000 0.500 0.000
Bi: 0.500 0.000 0.000
Bi: 0.500 0.500 0.500
Cl: 0.147 0.196 0.948
Cl: 0.147 0.304 0.448
Cl: 0.255 0.705 0.948
Cl: 0.255 0.795 0.448
Cl: 0.352 0.029 0.748
Cl: 0.352 0.471 0.248
Cl: 0.648 0.529 0.752
Cl: 0.648 0.971 0.252
Cl: 0.745 0.205 0.552
Cl: 0.745 0.295 0.052
Cl: 0.853 0.696 0.552
Cl: 0.853 0.804 0.052

---

Energies relative to the minimum, meV/atom: (A) 46; (B) 0

---

(A)
The following is a GGA-PBE calculation of crystalline AgBiPCl2 at its relaxed geometry, from the Alexandria database.

abc: 5.365 5.365 5.521
angles: 90.00 90.00 90.00
Fractional coordinates of all 5 atoms:
Ag: 0.000 0.000 0.000
Bi: 0.500 0.500 0.500
P: 0.500 0.500 0.000
Cl: 0.000 0.500 0.500
Cl: 0.500 0.000 0.500

---

(B)
The following is a GGA-PBE calculation of crystalline AgBiPCl2 at its relaxed geometry, from the Alexandria database.

abc: 4.876 4.876 5.176
angles: 90.00 90.00 90.00
Fractional coordinates of all 5 atoms:
Ag: 0.000 0.000 0.000
Bi: 0.500 0.500 0.500
P: 0.000 0.000 0.500
Cl: 0.000 0.500 0.000
Cl: 0.500 0.000 0.000

---

Energies relative to the minimum, meV/atom: (A) 0; (B) 21